(1)
Compound: InTe2Cl
Source: Alexandria
Functional: GGA-PBE
Structure: optimized geometry

POSCAR file:
```
InTe2Cl
1.0
4.318 0.000 0.000
0.000 7.482 0.000
0.000 0.000 8.967
In Te Cl
2 4 2
direct
0.000 0.000 0.000 In
0.500 0.500 0.000 In
0.000 0.000 0.517 Te
0.000 0.500 0.719 Te
0.500 0.000 0.719 Te
0.500 0.500 0.517 Te
0.000 0.500 0.189 Cl
0.500 0.000 0.189 Cl
```

## Properties
As for the total magnetic moment: 0.000 μB/f.u. The calculation puts the formation energy from raw total energies at -205 meV/atom. For the energy above the most stable polymorph in this dataset, the calculation gives 0.165 eV per atom.



(2)
Compound: ZrMnH
Source: Alexandria
Functional: GGA-PBE
Structure: optimized geometry

POSCAR file:
```
ZrMnH
1.0
7.378 0.000 0.000
0.000 4.510 0.000
0.000 0.000 4.390
Zr Mn H
4 4 4
direct
0.173 0.250 0.000 Zr
0.173 0.750 0.500 Zr
0.827 0.250 0.500 Zr
0.827 0.750 0.000 Zr
0.500 0.000 0.251 Mn
0.500 0.000 0.751 Mn
0.500 0.500 0.251 Mn
0.500 0.500 0.751 Mn
0.113 0.250 0.500 H
0.113 0.750 0.000 H
0.887 0.250 0.000 H
0.887 0.750 0.500 H
```

## Properties
As for the total magnetic moment: 0.000 μB/f.u. Its total energy is -7.099 eV/atom.



(3)
Compound: LuPaSb2
Source: Alexandria
Functional: GGA-PBE
Structure: optimized geometry

POSCAR file:
```
LuPaSb2
1.0
5.203 0.000 0.000
0.000 5.203 0.000
0.000 0.000 3.804
Lu Pa Sb
1 1 2
direct
0.000 0.000 0.000 Lu
0.500 0.500 0.000 Pa
0.000 0.500 0.500 Sb
0.500 0.000 0.500 Sb
```

## Properties
As for the total magnetic moment: 0.015 μB/f.u. The calculation puts the formation energy from raw total energies at -583 meV/atom. For the energy above the most stable polymorph in this dataset, the calculation gives 0.122 eV per atom.



(4)
Compound: BaOs2C
Source: Alexandria
Functional: GGA-PBE
Structure: optimized geometry

POSCAR file:
```
BaOs2C
1.0
6.111 0.000 0.000
0.000 6.111 0.000
0.000 0.000 9.203
Ba Os C
4 8 4
direct
0.000 0.000 0.000 Ba
0.000 0.500 0.250 Ba
0.500 0.000 0.750 Ba
0.500 0.500 0.500 Ba
0.035 0.250 0.625 Os
0.250 0.535 0.875 Os
0.250 0.965 0.375 Os
0.465 0.250 0.125 Os
0.535 0.750 0.125 Os
0.750 0.035 0.375 Os
0.750 0.465 0.875 Os
0.965 0.750 0.625 Os
0.000 0.000 0.500 C
0.000 0.500 0.750 C
0.500 0.000 0.250 C
0.500 0.500 0.000 C
```

## Properties
The energy of formation from the pure elements comes out at 0.82 eV/atom. As for the total magnetic moment: 0.000 μB/f.u.



(5)
Compound: La6C3S2Br
Source: Alexandria
Functional: GGA-PBE
Structure: optimized geometry

POSCAR file:
```
La6C3S2Br
1.0
9.038 -1.990 0.000
9.038 1.990 0.000
-2.476 0.000 7.985
La C S Br
6 3 2 1
direct
0.011 0.011 0.216 La
0.321 0.321 0.435 La
0.338 0.338 0.901 La
0.662 0.662 0.099 La
0.679 0.679 0.565 La
0.989 0.989 0.784 La
0.168 0.168 0.331 C
0.500 0.500 0.000 C
0.832 0.832 0.669 C
0.164 0.164 0.828 S
0.836 0.836 0.172 S
0.500 0.500 0.500 Br
```

## Properties
As for the total magnetic moment: 0.000 μB/f.u. The calculation puts the formation energy from raw total energies at -1022 meV/atom.



(6)
Compound: Sm2AlIr3
Source: Alexandria
Functional: GGA-PBE
Structure: optimized geometry

POSCAR file:
```
Sm2AlIr3
1.0
4.186 0.000 0.000
0.000 5.446 0.000
0.000 0.000 11.114
Sm Al Ir
4 2 6
direct
0.000 0.000 0.184 Sm
0.000 0.000 0.816 Sm
0.500 0.500 0.316 Sm
0.500 0.500 0.684 Sm
0.000 0.000 0.500 Al
0.500 0.500 0.000 Al
0.000 0.500 0.123 Ir
0.000 0.500 0.500 Ir
0.000 0.500 0.877 Ir
0.500 0.000 0.000 Ir
0.500 0.000 0.377 Ir
0.500 0.000 0.623 Ir
```

## Properties
The energy of formation from the pure elements comes out at -0.30 eV/atom. As for the total magnetic moment: 0.000 μB/f.u. For the energy above the most stable polymorph in this dataset, the calculation gives 0.539 eV per atom.